Entry 1:
8
Lattice="-5.642 -0.619 1.873 -2.880 -1.626 -9.213 -0.366 -5.249 -2.837" Properties=species:S:1:pos:R:3 comment="La4PrEr2Tm | Alexandria via LeMat-Bulk | PBE-GGA | optimized geometry" formation_energy_mev_per_atom=82 density_g_cm3=7.2 e_tot_ev_per_atom=-4.679 pbc="T T T"
La -5.091 -2.812 -6.729
La -6.431 -2.369 -1.079
La -3.797 -4.682 -3.448
Er -0.366 -5.249 -2.837
Tm -1.623 -3.437 -6.025
La -2.458 -5.125 -9.098
Er -3.004 -2.934 -0.482
Pr -4.627 -6.371 -6.507

***

Entry 2:
5
Lattice="5.022 0.000 0.000 0.000 5.022 0.000 0.000 0.000 5.266" Properties=species:S:1:pos:R:3 comment="RbTlZn2Rh | Alexandria via LeMat-Bulk | PBE-GGA | optimized geometry" formation_energy_mev_per_atom=-111 density_g_cm3=6.5 e_tot_ev_per_atom=-2.757 pbc="T T T"
Rh 0.000 0.000 0.000
Zn 2.511 0.000 0.000
Tl 0.000 0.000 2.633
Zn 0.000 2.511 0.000
Rb 2.511 2.511 2.633